Below is a geometry-optimized CrReNF2 structure, with properties calculated at the PBE+U level.

Cell: 3.766 3.766 4.627 Å, 90.00 90.00 90.00°
Fractional coordinates of all 5 atoms:
1 Cr 0.000 0.000 0.000
2 Re 0.500 0.500 0.500
3 N 0.000 0.000 0.500
4 F 0.000 0.500 0.000
5 F 0.500 0.000 0.000

## Properties
Energy relative to the lowest polymorph listed for this composition = 455 meV/atom